MgCr2O4 after structural relaxation, computed with PBE+U.

a b c (Å): 5.8788 10.2608 5.1102
angles (deg): 90.00 90.00 90.00
Space group Pmmn (No. 59, origin choice 2)
Asymmetric unit:
Mg: 0.2500 0.2500 0.0282 [2 per cell]
Mg: 0.2500 0.7500 0.3557 [2 per cell]
Cr: 0.0000 0.0000 0.5000 [4 per cell]
Cr: 0.2500 0.5144 0.9884 [4 per cell]
O: 0.0041 0.1117 0.8342 [8 per cell]
O: 0.2500 0.0975 0.3053 [4 per cell]
O: 0.2500 0.6083 0.6431 [4 per cell]

Computed properties:
Its energy relative to the lowest polymorph listed for this composition is 12.5 kJ per mole of atoms. The calculation puts the mass density at 4.1 g cm⁻³.